## GaAs2C (GGA-PBE)

Data for an optimized crystal structure of GaAs2C.

energy: -3.979 eV per atom
space-group type: No. 225
E above lowest polymorph: 0.750 eV/atom
total magnetic moment: 0.00 μB/f.u.
N(E_F): 1.7 states/eV per cell
ΔH_f (0 K): 1.41 eV/atom
crystal system: cubic

POSCAR file:
```
GaAs2C
1.0
-3.869 -1.612 1.512
-3.428 -0.551 -2.793
-1.303 -4.104 -1.144
As Ga C
2 1 1
Direct
0.750 0.750 0.750
0.250 0.250 0.250
0.500 0.500 0.500
0.000 0.000 0.000
```